# Mn3NiTe | the Alexandria database | meta-GGA SCAN | PBEsol geometry
# Fermi-level density of states, states/eV/f.u.: 4.4
# Formation energy from raw total energies, meV per atom: 1086
# Calculated volume, Å³/cell: 107
# Uncorrected energy, eV/atom: -20.5515
data_Mn3NiTe
_symmetry_space_group_name_H-M 'P m -3 m'
_symmetry_Int_Tables_number 221
_symmetry_space_group_name_Hall '-P 4 2 3'
_cell_length_a 4.751
_cell_length_b 4.751
_cell_length_c 4.751
_cell_angle_alpha 90.00
_cell_angle_beta 90.00
_cell_angle_gamma 90.00
loop_
_atom_site_label
_atom_site_type_symbol
_atom_site_fract_x
_atom_site_fract_y
_atom_site_fract_z
_atom_site_occupancy
Mn1 Mn 0.000 0.000 0.500 1
Ni1 Ni 0.500 0.500 0.500 1
Te1 Te 0.000 0.000 0.000 1